Entry 1:
DFT (GGA+U) results for crystalline V2CdP2O9 at its relaxed geometry.

Properties
The density is 4.0 g/cm³.

Lattice parameters (Å, degrees): 14.569 6.406 7.446 90.00 90.00 90.00
Fractional coordinates of all 56 atoms:
V  0.000  0.000  0.000
V  0.000  0.500  0.000
V  0.121  0.250  0.350
V  0.379  0.750  0.850
V  0.500  0.000  0.500
V  0.500  0.500  0.500
V  0.621  0.250  0.150
V  0.879  0.750  0.650
Cd  0.223  0.250  0.872
Cd  0.277  0.750  0.372
Cd  0.723  0.250  0.628
Cd  0.777  0.750  0.128
P  0.067  0.750  0.367
P  0.194  0.750  0.896
P  0.306  0.250  0.396
P  0.433  0.250  0.867
P  0.567  0.750  0.133
P  0.694  0.750  0.604
P  0.806  0.250  0.104
P  0.933  0.250  0.633
O  0.002  0.250  0.482
O  0.017  0.750  0.181
O  0.048  0.250  0.128
O  0.134  0.549  0.903
O  0.134  0.561  0.373
O  0.134  0.939  0.373
O  0.134  0.951  0.903
O  0.232  0.250  0.548
O  0.247  0.250  0.221
O  0.253  0.750  0.721
O  0.268  0.750  0.048
O  0.366  0.049  0.403
O  0.366  0.061  0.873
O  0.366  0.439  0.873
O  0.366  0.451  0.403
O  0.452  0.750  0.628
O  0.483  0.250  0.681
O  0.498  0.750  0.982
O  0.502  0.250  0.018
O  0.517  0.750  0.319
O  0.548  0.250  0.372
O  0.634  0.549  0.597
O  0.634  0.561  0.127
O  0.634  0.939  0.127
O  0.634  0.951  0.597
O  0.732  0.250  0.952
O  0.747  0.250  0.279
O  0.753  0.750  0.779
O  0.768  0.750  0.452
O  0.866  0.049  0.097
O  0.866  0.061  0.627
O  0.866  0.439  0.627
O  0.866  0.451  0.097
O  0.952  0.750  0.872
O  0.983  0.250  0.819
O  0.998  0.750  0.518

=====

Entry 2:
DFT (GGA+U) results for crystalline VCdP2O8 at its relaxed geometry.

Properties
The density is 4.4 g/cm³.

Lattice parameters (Å, degrees): 5.583 5.583 5.583 105.53 105.53 117.67
Fractional coordinates of all 12 atoms:
V  0.000  0.000  0.000
Cd  0.250  0.750  0.500
P  0.500  0.500  0.000
P  0.750  0.250  0.500
O  0.317  0.149  0.832
O  0.317  0.485  0.168
O  0.403  0.090  0.314
O  0.515  0.683  0.832
O  0.776  0.090  0.686
O  0.851  0.683  0.168
O  0.910  0.224  0.314
O  0.910  0.597  0.686

=====

Entry 3:
DFT (GGA+U) results for crystalline VCdP2O at its relaxed geometry.

Properties
The density is 4.0 g/cm³.

Lattice parameters (Å, degrees): 5.006 5.006 3.994 90.00 90.00 90.00
Fractional coordinates of all 5 atoms:
V  0.000  0.000  0.000
Cd  0.500  0.500  0.500
P  0.000  0.500  0.500
P  0.500  0.000  0.500
O  0.500  0.500  0.000

=====

Entry 4:
DFT (GGA+U) results for crystalline V2CdP2O14 at its relaxed geometry.

Properties
The density is 2.9 g/cm³.

Lattice parameters (Å, degrees): 6.327 6.333 7.360 105.61 95.30 90.02
Fractional coordinates of all 19 atoms:
V  0.000  0.000  0.000
V  0.476  0.424  0.801
Cd  0.410  0.405  0.288
P  0.495  0.971  0.924
P  0.996  0.472  0.925
O  0.012  0.718  0.048
O  0.027  0.325  0.068
O  0.055  0.043  0.405
O  0.161  0.725  0.437
O  0.165  0.427  0.784
O  0.209  0.916  0.420
O  0.316  0.026  0.066
O  0.455  0.357  0.553
O  0.471  0.111  0.783
O  0.482  0.735  0.806
O  0.486  0.494  0.052
O  0.711  0.029  0.054
O  0.783  0.423  0.807
O  0.980  0.938  0.775

=====

Entry 5:
DFT (GGA+U) results for crystalline VCdP2O at its relaxed geometry.

Properties
The density is 4.8 g/cm³.

Lattice parameters (Å, degrees): 4.818 4.818 3.634 90.00 90.00 90.00
Fractional coordinates of all 5 atoms:
V  0.000  0.000  0.000
Cd  0.500  0.500  0.500
P  0.000  0.500  0.000
P  0.500  0.000  0.000
O  0.000  0.000  0.500

=====

Entry 6:
DFT (GGA+U) results for crystalline VCd2PO7 at its relaxed geometry.

Properties
The density is 4.6 g/cm³.

Lattice parameters (Å, degrees): 4.844 11.010 5.757 90.00 97.38 90.00
Fractional coordinates of all 22 atoms:
V  0.139  0.000  0.103
V  0.861  0.500  0.897
Cd  0.381  0.452  0.347
Cd  0.400  0.256  0.838
Cd  0.600  0.756  0.162
Cd  0.619  0.952  0.653
P  0.151  0.720  0.595
P  0.849  0.220  0.405
O  0.016  0.618  0.738
O  0.086  0.305  0.510
O  0.119  0.401  0.007
O  0.287  0.655  0.399
O  0.293  0.061  0.875
O  0.369  0.785  0.772
O  0.393  0.926  0.287
O  0.607  0.426  0.713
O  0.631  0.285  0.228
O  0.707  0.561  0.125
O  0.713  0.155  0.601
O  0.881  0.901  0.993
O  0.914  0.805  0.490
O  0.984  0.118  0.262

=====

Entry 7:
DFT (GGA+U) results for crystalline CdPWO2 at its relaxed geometry.

Properties
The density is 7.0 g/cm³.

Lattice parameters (Å, degrees): 4.054 4.054 5.154 90.00 90.00 90.00
Fractional coordinates of all 5 atoms:
Cd  0.000  0.000  0.000
P  0.000  0.000  0.500
W  0.500  0.500  0.500
O  0.000  0.500  0.000
O  0.500  0.000  0.000

=====

Entry 8:
DFT (GGA+U) results for crystalline CdPWO2 at its relaxed geometry.

Properties
The density is 7.4 g/cm³.

Lattice parameters (Å, degrees): 3.894 3.894 5.285 90.00 90.00 90.00
Fractional coordinates of all 5 atoms:
Cd  0.000  0.000  0.000
P  0.500  0.500  0.000
W  0.500  0.500  0.500
O  0.000  0.500  0.500
O  0.500  0.000  0.500

=====

So what do the calculations give for energy? Going down the list: -100.54; -81.05; -19.03; -123.88; -24.48; -68.98; -20.33; -28.15 eV per formula unit.